(1)
The following is a DFT calculation (GGA-PBE) of an optimized crystal structure of La2AlNi.

Results
DFT formation energy: -276.5 meV per atom
Fermi-level density of states: 3.1 states/eV/cell
Crystal system: tetragonal

Cell lengths 3.6257, 3.6257, 7.5619 Å; angles 90.00, 90.00, 90.00 degrees
Sites, in units of the cell vectors:
1 Ni 0.5000 0.5000 0.2500
2 Al 0.5000 0.5000 0.7500
3 La 0.0000 0.0000 0.0246
4 La 0.0000 0.0000 0.4754


(2)
The following is a DFT calculation (GGA-PBE) of an optimized crystal structure of LiTe2PbN.

Results
Fermi-level density of states: 3.7 states/eV/cell
Crystal system: tetragonal
Energy relative to the elements, uncorrected: 0.75 eV/atom
Distance to the lowest polymorph of the same formula: 138.4 meV/atom

Cell lengths 6.0062, 6.0062, 4.4349 Å; angles 90.00, 90.00, 90.00 degrees
Each line ends with the local moment (μB).
Sites, in units of the cell vectors:
1 Pb 0.0000 0.0000 0.0000  -0.02
2 Te 0.0000 0.5000 0.0000  0.20
3 Te 0.5000 0.0000 0.0000  0.20
4 Li 0.5000 0.5000 0.5000  0.00
5 N 0.0000 0.0000 0.5000  0.99


(3)
The following is a DFT calculation (GGA-PBE) of an optimized crystal structure of Pm12YGe6.

Results
DFT formation energy: -404.5 meV per atom
Fermi-level density of states: 25.3 states/eV/cell
Crystal system: trigonal

Cell lengths 8.6805, 8.6805, 8.6805 Å; angles 103.77, 103.77, 103.77 degrees
Sites, in units of the cell vectors:
1 Pm 0.8766 0.1234 0.5000
2 Pm 0.8244 0.5607 0.5607
3 Pm 0.5607 0.5607 0.8244
4 Pm 0.4393 0.1756 0.4393
5 Pm 0.4393 0.4393 0.1756
6 Pm 0.1756 0.4393 0.4393
7 Pm 0.1234 0.5000 0.8766
8 Pm 0.5000 0.8766 0.1234
9 Pm 0.1234 0.8766 0.5000
10 Pm 0.8766 0.5000 0.1234
11 Pm 0.5000 0.1234 0.8766
12 Pm 0.5607 0.8244 0.5607
13 Y 0.0000 0.0000 0.0000
14 Ge 0.6976 0.2506 0.2506
15 Ge 0.2506 0.2506 0.6976
16 Ge 0.2506 0.6976 0.2506
17 Ge 0.7494 0.7494 0.3024
18 Ge 0.3024 0.7494 0.7494
19 Ge 0.7494 0.3024 0.7494


(4)
The following is a DFT calculation (GGA-PBE) of an optimized crystal structure of Sr2ReRu.

Results
DFT formation energy: 481.2 meV per atom
Fermi-level density of states: 3.8 states/eV/cell
Crystal system: tetragonal
Distance to the lowest polymorph of the same formula: 0.0 meV/atom

Cell lengths 3.3392, 3.3394, 9.5244 Å; angles 90.00, 90.00, 90.00 degrees
Sites, in units of the cell vectors:
1 Re 0.0000 0.0000 0.5724
2 Ru 0.5000 0.5000 0.6796
3 Sr 0.0000 0.0000 0.9252
4 Sr 0.5000 0.5000 0.3228


(5)
The following is a DFT calculation (GGA-PBE) of an optimized crystal structure of LiScZn.

Results
DFT formation energy: -100.7 meV per atom
Fermi-level density of states: 1.6 states/eV/cell
Crystal system: tetragonal
Distance to the lowest polymorph of the same formula: 59.2 meV/atom

Cell lengths 5.1834, 5.1838, 3.4414 Å; angles 70.61, 70.62, 38.77 degrees
Each line ends with the local moment (μB).
Sites, in units of the cell vectors:
1 Li 0.0157 0.0157 0.9843  0.00
2 Sc 0.3260 0.3260 0.6740  0.17
3 Zn 0.6583 0.6583 0.3417  0.00


(6)
The following is a DFT calculation (GGA-PBE) of an optimized crystal structure of Sr2LiI.

Results
Fermi-level density of states: 4.8 states/eV/cell
Crystal system: cubic
Energy relative to the elements, uncorrected: -0.34 eV/atom
Distance to the lowest polymorph of the same formula: 186.2 meV/atom

Cell lengths 6.0654, 6.0654, 6.0654 Å; angles 60.00, 60.00, 60.00 degrees
Sites, in units of the cell vectors:
1 I 0.5000 0.5000 0.5000
2 Sr 0.2500 0.2500 0.2500
3 Sr 0.7500 0.7500 0.7500
4 Li 0.0000 0.0000 0.0000


(7)
The following is a DFT calculation (GGA-PBE) of an optimized crystal structure of K3PtAu.

Results
DFT formation energy: -3.4 meV per atom
Fermi-level density of states: 0.0 states/eV/cell
Crystal system: cubic
Distance to the lowest polymorph of the same formula: 155.7 meV/atom

Cell lengths 6.0512, 6.0512, 6.0512 Å; angles 90.00, 90.00, 90.00 degrees
Sites, in units of the cell vectors:
1 K 0.0000 0.5000 0.0000
2 K 0.0000 0.0000 0.5000
3 K 0.5000 0.0000 0.0000
4 Au 0.5000 0.5000 0.5000
5 Pt 0.0000 0.0000 0.0000


(8)
The following is a DFT calculation (GGA-PBE) of an optimized crystal structure of TbPrSm2P4.

Results
DFT formation energy: -1560.7 meV per atom
Fermi-level density of states: 0.6 states/eV/cell
Crystal system: monoclinic

Cell lengths 4.1153, 7.1221, 7.1219 Å; angles 70.55, 90.00, 90.00 degrees
Sites, in units of the cell vectors:
1 Tb 0.0000 0.5000 0.5000
2 Pr 0.5000 0.5000 0.0000
3 Sm 0.0000 0.0000 0.0000
4 Sm 0.5000 0.0000 0.5000
5 P 0.0000 0.7522 0.7445
6 P 0.0000 0.2479 0.2555
7 P 0.5000 0.7487 0.2550
8 P 0.5000 0.2513 0.7450


(9)
The following is a DFT calculation (GGA-PBE) of an optimized crystal structure of Sb2TeRuO.

Results
Fermi-level density of states: 3.4 states/eV/cell
Crystal system: tetragonal
Energy relative to the elements, uncorrected: 0.37 eV/atom
Distance to the lowest polymorph of the same formula: 0.0 meV/atom

Cell lengths 4.6094, 4.6094, 4.7475 Å; angles 90.00, 90.00, 90.00 degrees
Sites, in units of the cell vectors:
1 Sb 0.0000 0.5000 0.0000
2 Sb 0.5000 0.0000 0.0000
3 Te 0.0000 0.0000 0.5000
4 O 0.0000 0.0000 0.0000
5 Ru 0.5000 0.5000 0.5000


(10)
The following is a DFT calculation (GGA-PBE) of an optimized crystal structure of BaH2RuRh.

Results
Fermi-level density of states: 5.0 states/eV/cell
Crystal system: tetragonal
Raw total energy: -4.08 eV per atom

Cell lengths 3.8504, 5.6217, 3.8504 Å; angles 90.00, 90.00, 90.00 degrees
Each line ends with the local moment (μB).
Sites, in units of the cell vectors:
1 Ru 0.0000 0.0000 0.0000  0.55
2 Rh 0.5000 0.5000 0.5000  0.22
3 Ba 0.0000 0.5000 0.0000  -0.01
4 H 0.0000 0.0000 0.5000  -0.01
5 H 0.5000 0.0000 0.0000  -0.01


(11)
The following is a DFT calculation (GGA-PBE) of an optimized crystal structure of Ti5Zn4Ag.

Results
DFT formation energy: -111.4 meV per atom
Fermi-level density of states: 6.3 states/eV/cell
Crystal system: tetragonal

Cell lengths 3.0864, 3.0864, 16.7248 Å; angles 90.00, 90.00, 90.00 degrees
Sites, in units of the cell vectors:
1 Ti 0.5000 0.5000 0.1125
2 Ti 0.5000 0.5000 0.3072
3 Ti 0.5000 0.5000 0.5000
4 Ti 0.5000 0.5000 0.6928
5 Ti 0.5000 0.5000 0.8875
6 Zn 0.0000 0.0000 0.2090
7 Zn 0.0000 0.0000 0.4035
8 Zn 0.0000 0.0000 0.5965
9 Zn 0.0000 0.0000 0.7910
10 Ag 0.0000 0.0000 0.0000


(12)
The following is a DFT calculation (GGA-PBE) of an optimized crystal structure of Li4MgPd7.

Results
DFT formation energy: -243.0 meV per atom
Fermi-level density of states: 4.3 states/eV/cell
Crystal system: monoclinic
Distance to the lowest polymorph of the same formula: 159.7 meV/atom

Cell lengths 4.7272, 6.9378, 6.4943 Å; angles 68.63, 68.66, 70.08 degrees
Sites, in units of the cell vectors:
1 Li 0.5463 0.2895 0.6179
2 Li 0.4537 0.7105 0.3821
3 Li 0.6865 0.6440 0.9830
4 Li 0.3135 0.3560 0.0170
5 Mg 0.0000 0.0000 0.0000
6 Pd 0.7812 0.8819 0.5557
7 Pd 0.2188 0.1181 0.4443
8 Pd 0.0725 0.5841 0.2709
9 Pd 0.9275 0.4159 0.7291
10 Pd 0.2541 0.7163 0.7755
11 Pd 0.5000 0.0000 0.0000
12 Pd 0.7459 0.2837 0.2245


Q: Which of these has the lowest Fermi-level density of states?
A: K3PtAu